Computed, not measured: crystalline Zr2TiN3 at its relaxed geometry at the PBE level of DFT.

Structure (POSCAR):
```
Zr2TiN3
1.0
-0.680 -2.648 1.660
2.760 -1.301 -0.957
2.070 4.580 5.078
Zr Ti N
2 1 3
Direct
0.095 0.097 0.196 Zr
0.773 0.775 0.552 Zr
0.434 0.436 0.874 Ti
0.934 0.936 0.874 N
0.271 0.272 0.547 N
0.598 0.599 0.201 N
```

## Properties
* space group: Fmmm, No. 69
* V: 11.55 Å³/atom


Computed, not measured: crystalline K2AcNiH8 at its relaxed geometry at the PBE level of DFT.

Structure (POSCAR):
```
K2AcNiH8
1.0
5.327 0.000 0.000
-2.663 4.613 0.000
0.000 0.000 6.589
K Ac Ni H
2 1 1 8
Direct
0.667 0.333 0.128 K
0.333 0.667 0.872 K
0.000 0.000 0.500 Ac
0.000 0.000 0.000 Ni
0.869 0.739 0.848 H
0.261 0.131 0.848 H
0.869 0.131 0.848 H
0.131 0.261 0.152 H
0.739 0.869 0.152 H
0.131 0.869 0.152 H
0.667 0.333 0.513 H
0.333 0.667 0.487 H
```

## Properties
* space group: P-3m1, No. 164
* V: 13.49 Å³/atom


Computed, not measured: crystalline Sc3C at its relaxed geometry at the PBE level of DFT.

Structure (POSCAR):
```
Sc3C
1.0
-3.234 2.869 -1.466
-4.153 -0.082 1.893
-1.366 3.451 2.658
Sc C
3 1
Direct
0.750 0.750 0.750 Sc
0.500 0.500 0.500 Sc
0.250 0.250 0.250 Sc
0.000 0.000 0.000 C
```

## Properties
* space group: Fm-3m, No. 225
* ΔH_f (0 K): 0.9722 eV/atom
* V: 16.82 Å³/atom
* offset from the most stable computed form: 1.240 eV/atom


Computed, not measured: crystalline TiVCuTc at its relaxed geometry at the PBE level of DFT.

Structure (POSCAR):
```
TiVCuTc
1.0
-0.026 2.289 -3.646
0.828 -1.929 -3.758
-3.157 -0.562 -2.872
Ti Tc Cu V
1 1 1 1
Direct
0.250 0.250 0.250 Ti
0.500 0.500 0.500 Tc
0.000 0.000 0.000 Cu
0.750 0.750 0.750 V
```

## Properties
* space group: F-43m, No. 216
* ΔH_f (0 K): -0.1524 eV/atom
* V: 14.10 Å³/atom


| no. | total DFT energy (no corrections) (eV per atom) |
| --- | --- |
| 1 | -9.97 |
| 2 | -3.40 |
| 3 | -6.08 |
| 4 | -8.02 |